Record 1
A plane-wave DFT calculation with PBE was carried out for crystalline CsTmTl2I6 at its relaxed geometry.

Cell lengths 8.7357, 8.7415, 9.2570 Å; angles 61.85, 61.86, 60.03 degrees
Space group P1 (No. 1)
Inequivalent atoms, fractional coordinates:
Cs 0.0000 0.0000 0.0000 (multiplicity 1)
Tm 0.5144 0.5144 0.4564 (multiplicity 1)
Tl 0.1911 0.1907 0.4268 (multiplicity 1)
Tl 0.7077 0.7077 0.8764 (multiplicity 1)
I 0.1615 0.7342 0.6712 (multiplicity 1)
I 0.3382 0.5643 0.2147 (multiplicity 1)
I 0.4329 0.1615 0.6711 (multiplicity 1)
I 0.5644 0.8823 0.2146 (multiplicity 1)
I 0.7346 0.4327 0.6711 (multiplicity 1)
I 0.8824 0.3387 0.2144 (multiplicity 1)

As for the formation energy (no corrections): -1.1230 eV/atom. As for the calculated volume: 51.4 Å³ per atom. For the density of states at the Fermi level, the calculation gives 0.000 states/eV/f.u. The calculation puts the total energy at -30.59 eV/f.u. As for the total magnetic moment: 0.00 μB per cell.


Record 2
A plane-wave DFT calculation with PBE was carried out for crystalline LiYPt3 at its relaxed geometry.

Cell lengths 4.3741, 4.3741, 4.3741 Å; angles 90.00, 90.00, 90.00 degrees
Space group Pm-3m (No. 221)
Inequivalent atoms, fractional coordinates:
Li 0.0000 0.0000 0.0000 (multiplicity 1)
Y 0.5000 0.5000 0.5000 (multiplicity 1)
Pt 0.0000 0.0000 0.5000 (multiplicity 3)

As for the calculated volume: 16.7 Å³ per atom. For the density of states at the Fermi level, the calculation gives 0.898 states/eV/f.u. The calculation puts the total energy at -29.30 eV/f.u. The energy above the most stable polymorph in this dataset comes out at 0.000 eV/atom. As for the total magnetic moment: 0.00 μB per cell. For the energy of formation from the pure elements, the calculation gives -2.8 eV per formula unit.


Record 3
A plane-wave DFT calculation with PBE was carried out for crystalline TbGa3Cu at its relaxed geometry.

Cell lengths 5.5258, 5.7883, 5.6353 Å; angles 90.00, 91.83, 90.00 degrees
Space group P2_1/m (No. 11)
Inequivalent atoms, fractional coordinates:
Tb 0.1562 0.2500 0.1705 (multiplicity 2)
Ga 0.0688 0.7500 0.3399 (multiplicity 2)
Ga 0.3470 0.0057 0.6756 (multiplicity 4)
Cu 0.3621 0.7500 0.0330 (multiplicity 2)

As for the calculated volume: 18.0 Å³ per atom. For the density of states at the Fermi level, the calculation gives 1.662 states/eV/f.u. The calculation puts the total energy at -19.99 eV/f.u. The energy above the most stable polymorph in this dataset comes out at 0.051 eV/atom. As for the total magnetic moment: 0.00 μB per cell. For the energy of formation from the pure elements, the calculation gives -2.2 eV per formula unit.


Record 4
A plane-wave DFT calculation with PBE was carried out for crystalline Be2Co at its relaxed geometry.

Cell lengths 2.6063, 10.9785, 3.5272 Å; angles 90.00, 90.00, 90.00 degrees
Space group Cmcm (No. 63)
Inequivalent atoms, fractional coordinates:
Be 0.0000 0.0701 0.2500 (multiplicity 4)
Be 0.0000 0.2624 0.7500 (multiplicity 4)
Co 0.0000 0.4038 0.2500 (multiplicity 4)

As for the calculated volume: 8.4 Å³ per atom. For the density of states at the Fermi level, the calculation gives 0.441 states/eV/f.u. The calculation puts the total energy at -15.52 eV/f.u. As for the total magnetic moment: 0.00 μB per cell. For the energy of formation from the pure elements, the calculation gives -1.0 eV per formula unit.


Record 5
A plane-wave DFT calculation with PBE was carried out for crystalline Tb6NdZn2 at its relaxed geometry.

Cell lengths 4.7917, 4.7917, 25.7757 Å; angles 90.00, 90.00, 90.00 degrees
Space group I4/mmm (No. 139)
Inequivalent atoms, fractional coordinates:
Tb 0.0000 0.5000 0.1093 (multiplicity 8)
Tb 0.0000 0.5000 0.2500 (multiplicity 4)
Nd 0.0000 0.0000 0.0000 (multiplicity 2)
Zn 0.0000 0.0000 0.3214 (multiplicity 4)

As for the calculated volume: 32.9 Å³ per atom. For the density of states at the Fermi level, the calculation gives 16.007 states/eV/f.u. The calculation puts the total energy at -32.80 eV/f.u. The energy above the most stable polymorph in this dataset comes out at 0.395 eV/atom. As for the total magnetic moment: 0.00 μB per cell. For the energy of formation from the pure elements, the calculation gives 2.3 eV per formula unit.


Record 6
A plane-wave DFT calculation with PBE was carried out for crystalline Tl2Pt2Pb at its relaxed geometry.

Cell lengths 8.5280, 8.5280, 3.0688 Å; angles 90.00, 90.00, 90.00 degrees
Space group P4/mbm (No. 127)
Inequivalent atoms, fractional coordinates:
Tl 0.1353 0.3647 0.0000 (multiplicity 4)
Pt 0.1618 0.6618 0.5000 (multiplicity 4)
Pb 0.0000 0.0000 0.0000 (multiplicity 2)

As for the calculated volume: 22.3 Å³ per atom. For the density of states at the Fermi level, the calculation gives 3.365 states/eV/f.u. The calculation puts the total energy at -20.05 eV/f.u. The energy above the most stable polymorph in this dataset comes out at 0.075 eV/atom. As for the total magnetic moment: 0.00 μB per cell. For the energy of formation from the pure elements, the calculation gives 0.5 eV per formula unit.


Record 7
A plane-wave DFT calculation with PBE was carried out for crystalline TlSn3Rh at its relaxed geometry.

Cell lengths 5.2049, 5.2049, 5.2049 Å; angles 90.00, 90.00, 90.00 degrees
Space group Pm-3m (No. 221)
Inequivalent atoms, fractional coordinates:
Tl 0.0000 0.0000 0.0000 (multiplicity 1)
Sn 0.0000 0.5000 0.5000 (multiplicity 3)
Rh 0.5000 0.5000 0.5000 (multiplicity 1)

As for the calculated volume: 28.2 Å³ per atom. For the density of states at the Fermi level, the calculation gives 2.380 states/eV/f.u. The calculation puts the total energy at -21.86 eV/f.u. The energy above the most stable polymorph in this dataset comes out at 0.000 eV/atom. As for the total magnetic moment: 0.00 μB per cell. For the energy of formation from the pure elements, the calculation gives -0.1 eV per formula unit.


Record 8
A plane-wave DFT calculation with PBE was carried out for crystalline Ca2NiH6Ir at its relaxed geometry.

Cell lengths 7.1899, 7.1973, 7.3205 Å; angles 90.00, 90.00, 90.00 degrees
Space group Fmmm (No. 69)
Inequivalent atoms, fractional coordinates:
Ca 0.2500 0.2500 0.2500 (multiplicity 8)
Ni 0.0000 0.0000 0.0000 (multiplicity 4)
H 0.0000 0.0000 0.2530 (multiplicity 8)
H 0.0000 0.2496 0.0000 (multiplicity 8)
H 0.2495 0.0000 0.0000 (multiplicity 8)
Ir 0.0000 0.0000 0.5000 (multiplicity 4)

As for the calculated volume: 9.5 Å³ per atom. For the density of states at the Fermi level, the calculation gives 0.867 states/eV/f.u. The calculation puts the total energy at -43.82 eV/f.u. As for the total magnetic moment: 0.00 μB per cell.


Record 9
A plane-wave DFT calculation with PBE was carried out for crystalline Nb2SnCl2 at its relaxed geometry.

Cell lengths 3.9884, 3.9884, 12.5098 Å; angles 90.00, 90.00, 90.00 degrees
Space group I4/mmm (No. 139)
Inequivalent atoms, fractional coordinates:
Nb 0.0000 0.0000 0.1085 (multiplicity 4)
Sn 0.0000 0.0000 0.5000 (multiplicity 2)
Cl 0.0000 0.5000 0.2500 (multiplicity 4)

As for the formation energy (no corrections): -0.0664 eV/atom. As for the calculated volume: 19.9 Å³ per atom. For the density of states at the Fermi level, the calculation gives 4.889 states/eV/f.u. The calculation puts the total energy at -28.17 eV/f.u. The energy above the most stable polymorph in this dataset comes out at 0.000 eV/atom. As for the total magnetic moment: 0.00 μB per cell.


Record 10
A plane-wave DFT calculation with PBE was carried out for crystalline Tb2PmMgRh4 at its relaxed geometry.

Cell lengths 4.7835, 4.7835, 23.5959 Å; angles 90.00, 90.00, 120.00 degrees
Space group R-3m (No. 166, hexagonal axes)
Inequivalent atoms, fractional coordinates:
Tb 0.0000 0.0000 0.2435 (multiplicity 6)
Pm 0.0000 0.0000 0.0000 (multiplicity 3)
Mg 0.0000 0.0000 0.5000 (multiplicity 3)
Rh 0.0000 0.0000 0.1255 (multiplicity 6)
Rh 0.0000 0.0000 0.3780 (multiplicity 6)

As for the calculated volume: 19.5 Å³ per atom. For the density of states at the Fermi level, the calculation gives 2.880 states/eV/f.u. The calculation puts the total energy at -50.87 eV/f.u. As for the total magnetic moment: 0.00 μB per cell. For the energy of formation from the pure elements, the calculation gives -5.9 eV per formula unit.


Record 11
A plane-wave DFT calculation with PBE was carried out for crystalline CaTbNi4 at its relaxed geometry.

Cell lengths 7.1791, 7.1791, 7.1791 Å; angles 90.00, 90.00, 90.00 degrees
Space group F-43m (No. 216)
Inequivalent atoms, fractional coordinates:
Ca 0.0000 0.0000 0.0000 (multiplicity 4)
Tb 0.2500 0.2500 0.2500 (multiplicity 4)
Ni 0.1250 0.1250 0.6250 (multiplicity 16)

As for the calculated volume: 15.4 Å³ per atom. For the density of states at the Fermi level, the calculation gives 6.828 states/eV/f.u. The calculation puts the total energy at -31.65 eV/f.u. As for the total magnetic moment: 0.00 μB per cell. For the energy of formation from the pure elements, the calculation gives -1.9 eV per formula unit.


Record 12
A plane-wave DFT calculation with PBE was carried out for crystalline In2TcSe at its relaxed geometry.

Cell lengths 4.7481, 4.7481, 3.5151 Å; angles 90.00, 90.00, 90.00 degrees
Space group P4/mmm (No. 123)
Inequivalent atoms, fractional coordinates:
In 0.0000 0.5000 0.0000 (multiplicity 2)
Tc 0.0000 0.0000 0.5000 (multiplicity 1)
Se 0.5000 0.5000 0.5000 (multiplicity 1)

As for the formation energy (no corrections): 0.3194 eV/atom. As for the calculated volume: 19.8 Å³ per atom. For the density of states at the Fermi level, the calculation gives 2.478 states/eV/f.u. The calculation puts the total energy at -18.05 eV/f.u. As for the total magnetic moment: 0.00 μB per cell.